Entry from OQMD: crystalline Zr4BiPbN2 at its relaxed geometry (PBE).

Structure (CIF):
```
data_Zr4BiPbN2
_chemical_formula_sum 'Zr4 Bi1 Pb1 N2'
_space_group_name_H-M_alt 'P 1'
_space_group_IT_number 1
_cell_length_a 3.436
_cell_length_b 3.436
_cell_length_c 14.303
_cell_angle_alpha 90.00
_cell_angle_beta 90.00
_cell_angle_gamma 120.00
loop_
_space_group_symop_operation_xyz
'x,y,z'
loop_
_atom_site_label
_atom_site_type_symbol
_atom_site_fract_x
_atom_site_fract_y
_atom_site_fract_z
Zr1 Zr 0.000 0.000 0.166
Zr2 Zr 0.000 0.000 0.834
Zr3 Zr 0.333 0.667 0.329
Zr4 Zr 0.333 0.667 0.671
Bi1 Bi 0.333 0.667 0.000
Pb1 Pb 0.000 0.000 0.500
N1 N 0.667 0.333 0.249
N2 N 0.667 0.333 0.751
```

Calculated values
- calculated total energy (eV per atom) = -8.2665
- size of the total moment (μB per formula unit) = 0.01

---

Entry from OQMD: crystalline Pr2BiN at its relaxed geometry (PBE).

Structure (CIF):
```
data_Pr2BiN
_chemical_formula_sum 'Pr4 Bi2 N2'
_space_group_name_H-M_alt 'P 1'
_space_group_IT_number 1
_cell_length_a 4.764
_cell_length_b 4.764
_cell_length_c 9.422
_cell_angle_alpha 90.00
_cell_angle_beta 90.00
_cell_angle_gamma 90.00
loop_
_space_group_symop_operation_xyz
'x,y,z'
loop_
_atom_site_label
_atom_site_type_symbol
_atom_site_fract_x
_atom_site_fract_y
_atom_site_fract_z
Pr1 Pr 0.250 0.250 0.173
Pr2 Pr 0.250 0.750 0.500
Pr3 Pr 0.750 0.250 0.500
Pr4 Pr 0.750 0.750 0.827
Bi1 Bi 0.250 0.250 0.804
Bi2 Bi 0.750 0.750 0.196
N1 N 0.250 0.250 0.417
N2 N 0.750 0.750 0.583
```

Calculated values
- calculated total energy (eV per atom) = -6.6238
- size of the total moment (μB per formula unit) = 0.00

---

Entry from OQMD: crystalline Ta4BiSN2 at its relaxed geometry (PBE).

Structure (CIF):
```
data_Ta4BiSN2
_chemical_formula_sum 'Ta4 Bi1 S1 N2'
_space_group_name_H-M_alt 'P 1'
_space_group_IT_number 1
_cell_length_a 3.362
_cell_length_b 3.362
_cell_length_c 12.415
_cell_angle_alpha 90.00
_cell_angle_beta 90.00
_cell_angle_gamma 120.00
loop_
_space_group_symop_operation_xyz
'x,y,z'
loop_
_atom_site_label
_atom_site_type_symbol
_atom_site_fract_x
_atom_site_fract_y
_atom_site_fract_z
Ta1 Ta 0.000 0.000 0.141
Ta2 Ta 0.000 0.000 0.859
Ta3 Ta 0.667 0.333 0.307
Ta4 Ta 0.667 0.333 0.693
Bi1 Bi 0.000 0.000 0.500
S1 S 0.667 0.333 0.000
N1 N 0.333 0.667 0.231
N2 N 0.333 0.667 0.769
```

Calculated values
- calculated total energy (eV per atom) = -9.4268
- size of the total moment (μB per formula unit) = 0.00

---

Entry from OQMD: crystalline Ta4BiSN2 at its relaxed geometry (PBE).

Structure (CIF):
```
data_Ta4BiSN2
_chemical_formula_sum 'Ta4 Bi1 S1 N2'
_space_group_name_H-M_alt 'P 1'
_space_group_IT_number 1
_cell_length_a 3.362
_cell_length_b 3.362
_cell_length_c 12.415
_cell_angle_alpha 90.00
_cell_angle_beta 90.00
_cell_angle_gamma 120.00
loop_
_space_group_symop_operation_xyz
'x,y,z'
loop_
_atom_site_label
_atom_site_type_symbol
_atom_site_fract_x
_atom_site_fract_y
_atom_site_fract_z
Ta1 Ta 0.000 0.000 0.141
Ta2 Ta 0.000 0.000 0.859
Ta3 Ta 0.333 0.667 0.307
Ta4 Ta 0.333 0.667 0.693
Bi1 Bi 0.000 0.000 0.500
S1 S 0.333 0.667 0.000
N1 N 0.667 0.333 0.231
N2 N 0.667 0.333 0.769
```

Calculated values
- calculated total energy (eV per atom) = -9.4268
- size of the total moment (μB per formula unit) = 0.00

---

Entry from OQMD: crystalline BiSbW4N2 at its relaxed geometry (PBE).

Structure (CIF):
```
data_BiSbW4N2
_chemical_formula_sum 'Bi1 Sb1 W4 N2'
_space_group_name_H-M_alt 'P 1'
_space_group_IT_number 1
_cell_length_a 3.401
_cell_length_b 3.401
_cell_length_c 12.619
_cell_angle_alpha 90.00
_cell_angle_beta 90.00
_cell_angle_gamma 120.00
loop_
_space_group_symop_operation_xyz
'x,y,z'
loop_
_atom_site_label
_atom_site_type_symbol
_atom_site_fract_x
_atom_site_fract_y
_atom_site_fract_z
Bi1 Bi 0.000 0.000 0.000
Sb1 Sb 0.667 0.333 0.500
W1 W 0.000 0.000 0.334
W2 W 0.000 0.000 0.666
W3 W 0.667 0.333 0.185
W4 W 0.667 0.333 0.815
N1 N 0.333 0.667 0.248
N2 N 0.333 0.667 0.752
```

Calculated values
- calculated total energy (eV per atom) = -9.0551
- size of the total moment (μB per formula unit) = 0.00

---

Entry from OQMD: crystalline Zr4BiSbN2 at its relaxed geometry (PBE).

Structure (CIF):
```
data_Zr4BiSbN2
_chemical_formula_sum 'Zr4 Bi1 Sb1 N2'
_space_group_name_H-M_alt 'P 1'
_space_group_IT_number 1
_cell_length_a 3.488
_cell_length_b 3.488
_cell_length_c 13.627
_cell_angle_alpha 90.00
_cell_angle_beta 90.00
_cell_angle_gamma 120.00
loop_
_space_group_symop_operation_xyz
'x,y,z'
loop_
_atom_site_label
_atom_site_type_symbol
_atom_site_fract_x
_atom_site_fract_y
_atom_site_fract_z
Zr1 Zr 0.000 0.000 0.161
Zr2 Zr 0.000 0.000 0.839
Zr3 Zr 0.667 0.333 0.328
Zr4 Zr 0.667 0.333 0.672
Bi1 Bi 0.000 0.000 0.500
Sb1 Sb 0.667 0.333 0.000
N1 N 0.333 0.667 0.246
N2 N 0.333 0.667 0.754
```

Calculated values
- calculated total energy (eV per atom) = -8.4034
- size of the total moment (μB per formula unit) = 0.00

---

Entry from OQMD: crystalline Sc4Bi3W2N3 at its relaxed geometry (PBE).

Structure (CIF):
```
data_Sc4Bi3W2N3
_chemical_formula_sum 'Sc8 Bi6 W4 N6'
_space_group_name_H-M_alt 'P 1'
_space_group_IT_number 1
_cell_length_a 5.890
_cell_length_b 5.890
_cell_length_c 13.887
_cell_angle_alpha 101.82
_cell_angle_beta 101.82
_cell_angle_gamma 60.51
loop_
_space_group_symop_operation_xyz
'x,y,z'
loop_
_atom_site_label
_atom_site_type_symbol
_atom_site_fract_x
_atom_site_fract_y
_atom_site_fract_z
Sc1 Sc 0.020 0.201 0.082
Sc2 Sc 0.147 0.304 0.419
Sc3 Sc 0.201 0.020 0.582
Sc4 Sc 0.304 0.147 0.919
Sc5 Sc 0.696 0.853 0.081
Sc6 Sc 0.799 0.980 0.418
Sc7 Sc 0.853 0.696 0.581
Sc8 Sc 0.980 0.799 0.918
Bi1 Bi 0.099 0.901 0.250
Bi2 Bi 0.261 0.418 0.748
Bi3 Bi 0.418 0.261 0.248
Bi4 Bi 0.582 0.739 0.752
Bi5 Bi 0.739 0.582 0.252
Bi6 Bi 0.901 0.099 0.750
W1 W 0.367 0.521 0.068
W2 W 0.479 0.633 0.432
W3 W 0.521 0.367 0.568
W4 W 0.633 0.479 0.932
N1 N 0.000 0.500 0.000
N2 N 0.156 0.672 0.500
N3 N 0.328 0.844 0.000
N4 N 0.500 0.000 0.500
N5 N 0.672 0.156 0.000
N6 N 0.844 0.328 0.500
```

Calculated values
- calculated total energy (eV per atom) = -7.9877
- size of the total moment (μB per formula unit) = 0.00

---

Entry from OQMD: crystalline Zr4Sc2Bi3N3 at its relaxed geometry (PBE).

Structure (CIF):
```
data_Zr4Sc2Bi3N3
_chemical_formula_sum 'Zr8 Sc4 Bi6 N6'
_space_group_name_H-M_alt 'P 1'
_space_group_IT_number 1
_cell_length_a 5.960
_cell_length_b 5.960
_cell_length_c 14.563
_cell_angle_alpha 101.75
_cell_angle_beta 101.75
_cell_angle_gamma 60.03
loop_
_space_group_symop_operation_xyz
'x,y,z'
loop_
_atom_site_label
_atom_site_type_symbol
_atom_site_fract_x
_atom_site_fract_y
_atom_site_fract_z
Zr1 Zr 0.027 0.193 0.081
Zr2 Zr 0.139 0.307 0.419
Zr3 Zr 0.193 0.027 0.581
Zr4 Zr 0.307 0.139 0.919
Zr5 Zr 0.693 0.861 0.081
Zr6 Zr 0.807 0.973 0.419
Zr7 Zr 0.861 0.693 0.581
Zr8 Zr 0.973 0.807 0.919
Sc1 Sc 0.361 0.527 0.081
Sc2 Sc 0.473 0.639 0.419
Sc3 Sc 0.527 0.361 0.581
Sc4 Sc 0.639 0.473 0.919
Bi1 Bi 0.084 0.916 0.250
Bi2 Bi 0.253 0.415 0.750
Bi3 Bi 0.415 0.253 0.250
Bi4 Bi 0.585 0.747 0.750
Bi5 Bi 0.747 0.585 0.250
Bi6 Bi 0.916 0.084 0.750
N1 N 0.000 0.500 0.000
N2 N 0.176 0.662 0.500
N3 N 0.338 0.824 0.000
N4 N 0.500 0.000 0.500
N5 N 0.662 0.176 0.000
N6 N 0.824 0.338 0.500
```

Calculated values
- calculated total energy (eV per atom) = -8.0174
- size of the total moment (μB per formula unit) = 0.01